The following is a PBE-GGA calculation of a geometry-optimized ZrScTlAu structure, from Alexandria.

Unit cell a=4.963 b=4.963 c=4.963 alpha=60.00 beta=60.00 gamma=60.00
Last column: magnetic moment on the atom in μB.
Element x y z (fractional)
Tl (0.500, 0.500, 0.500)  0.00
Sc (0.250, 0.250, 0.250)  0.25
Zr (0.750, 0.750, 0.750)  0.32
Au (0.000, 0.000, 0.000)  0.04

E_tot, Ry per atom: -0.40199
Spin magnetization, μB/f.u.: 0.9
ΔE_f, eV/atom: -0.34

The following is a PBE-GGA calculation of a geometry-optimized TmScAu structure, from Alexandria.

Unit cell a=4.793 b=4.793 c=4.793 alpha=60.00 beta=60.00 gamma=60.00
Element x y z (fractional)
Au (0.250, 0.250, 0.250)
Tm (0.000, 0.000, 0.000)
Sc (0.500, 0.500, 0.500)

E_tot, Ry per atom: -0.37751
Spin magnetization, μB/f.u.: 0.0
ΔE_f, eV/atom: -0.44

The following is a PBE-GGA calculation of a geometry-optimized Tm2ScAu2 structure, from Alexandria.

Unit cell a=4.479 b=5.678 c=5.678 alpha=68.30 beta=66.77 gamma=66.77
Element x y z (fractional)
Tm (0.203, 0.297, 0.297)
Tm (0.797, 0.703, 0.703)
Au (0.500, 0.276, 0.724)
Au (0.500, 0.724, 0.276)
Sc (0.000, 0.000, 0.000)

E_tot, Ry per atom: -0.36852
Spin magnetization, μB/f.u.: 0.0
ΔE_f, eV/atom: -0.65

The following is a PBE-GGA calculation of a geometry-optimized Tm3ScAu4 structure, from Alexandria.

Unit cell a=3.496 b=4.994 c=9.966 alpha=90.00 beta=90.00 gamma=90.00
Element x y z (fractional)
Au (0.000, 0.000, 0.000)
Tm (0.500, 0.500, 0.500)
Au (0.000, 0.500, 0.760)
Au (0.000, 0.000, 0.500)
Tm (0.500, 0.000, 0.753)
Tm (0.500, 0.000, 0.247)
Sc (0.500, 0.500, 0.000)
Au (0.000, 0.500, 0.240)

E_tot, Ry per atom: -0.36530
Spin magnetization, μB/f.u.: 0.0
ΔE_f, eV/atom: -0.86

The following is a PBE-GGA calculation of a geometry-optimized TmScAu structure, from Alexandria.

Unit cell a=4.497 b=4.497 c=7.125 alpha=90.00 beta=90.00 gamma=90.00
Element x y z (fractional)
Sc (0.500, 0.500, 0.500)
Au (0.500, 0.000, 0.740)
Sc (0.000, 0.000, 0.500)
Tm (0.000, 0.500, 0.864)
Tm (0.500, 0.000, 0.136)
Au (0.000, 0.500, 0.260)

E_tot, Ry per atom: -0.38872
Spin magnetization, μB/f.u.: 0.0
ΔE_f, eV/atom: -0.60

The following is a PBE-GGA calculation of a geometry-optimized TmScAu structure, from Alexandria.

Unit cell a=3.471 b=3.471 c=6.323 alpha=105.93 beta=105.93 gamma=90.00
Last column: magnetic moment on the atom in μB.
Element x y z (fractional)
Au (0.943, 0.943, 0.887)  0.01
Sc (0.305, 0.305, 0.610)  0.35
Tm (0.601, 0.601, 0.203)  0.38

E_tot, Ry per atom: -0.38347
Spin magnetization, μB/f.u.: 1.1
ΔE_f, eV/atom: -0.52

The following is a PBE-GGA calculation of a geometry-optimized TmSc2Au structure, from Alexandria.

Unit cell a=3.462 b=3.462 c=7.840 alpha=90.00 beta=90.00 gamma=90.00
Element x y z (fractional)
Tm (0.500, 0.500, 0.500)
Sc (0.000, 0.000, 0.207)
Sc (0.000, 0.000, 0.793)
Au (0.500, 0.500, 0.000)

E_tot, Ry per atom: -0.40135
Spin magnetization, μB/f.u.: 0.0
ΔE_f, eV/atom: -0.36

The following is a PBE-GGA calculation of a geometry-optimized Tm3ScAu2 structure, from Alexandria.

Unit cell a=4.868 b=6.816 c=8.801 alpha=90.00 beta=90.00 gamma=90.00
Element x y z (fractional)
Tm (0.000, 0.845, 0.665)
Tm (0.500, 0.154, 0.825)
Au (0.500, 0.236, 0.154)
Au (0.000, 0.265, 0.653)
Tm (0.500, 0.654, 0.175)
Au (0.000, 0.765, 0.347)
Au (0.500, 0.736, 0.846)
Sc (0.500, 0.013, 0.430)
Tm (0.000, 0.345, 0.335)
Tm (0.000, 0.488, 0.932)
Tm (0.000, 0.988, 0.068)
Sc (0.500, 0.513, 0.570)

E_tot, Ry per atom: -0.36933
Spin magnetization, μB/f.u.: 0.0
ΔE_f, eV/atom: -0.64

The following is a PBE-GGA calculation of a geometry-optimized TmSc4Au5 structure, from Alexandria.

Unit cell a=3.420 b=3.420 c=17.318 alpha=90.00 beta=90.00 gamma=90.00
Element x y z (fractional)
Au (0.500, 0.500, 0.303)
Sc (0.000, 0.000, 0.402)
Au (0.500, 0.500, 0.891)
Sc (0.000, 0.000, 0.205)
Tm (0.000, 0.000, 0.000)
Sc (0.000, 0.000, 0.598)
Au (0.500, 0.500, 0.697)
Au (0.500, 0.500, 0.500)
Sc (0.000, 0.000, 0.795)
Au (0.500, 0.500, 0.109)

E_tot, Ry per atom: -0.39974
Spin magnetization, μB/f.u.: 0.0
ΔE_f, eV/atom: -0.82

The following is a PBE-GGA calculation of a geometry-optimized TmScAu4 structure, from Alexandria.

Unit cell a=3.633 b=3.633 c=8.946 alpha=90.00 beta=90.00 gamma=90.00
Element x y z (fractional)
Au (0.500, 0.500, 0.159)
Tm (0.500, 0.500, 0.500)
Sc (0.000, 0.000, 0.000)
Au (0.000, 0.000, 0.331)
Au (0.000, 0.000, 0.669)
Au (0.500, 0.500, 0.841)

E_tot, Ry per atom: -0.35483
Spin magnetization, μB/f.u.: 0.0
ΔE_f, eV/atom: -0.84

The following is a PBE-GGA calculation of a geometry-optimized TmSc2Au structure, from Alexandria.

Unit cell a=3.506 b=3.506 c=9.587 alpha=79.47 beta=79.47 gamma=60.00
Last column: magnetic moment on the atom in μB.
Element x y z (fractional)
Tm (0.501, 0.501, 0.496)  0.19
Sc (0.263, 0.263, 0.212)  0.02
Sc (0.070, 0.070, 0.789)  0.12
Au (0.666, 0.666, 0.003)  0.01

E_tot, Ry per atom: -0.39273
Spin magnetization, μB/f.u.: 0.5
ΔE_f, eV/atom: -0.24

The following is a PBE-GGA calculation of a geometry-optimized TmSc2Au structure, from Alexandria.

Unit cell a=5.014 b=5.014 c=5.012 alpha=59.99 beta=59.99 gamma=60.00
Last column: magnetic moment on the atom in μB.
Element x y z (fractional)
Tm (0.000, 0.000, 0.000)  0.13
Au (0.500, 0.500, 0.500)  0.01
Sc (0.250, 0.250, 0.249)  0.10
Sc (0.750, 0.750, 0.751)  0.10

E_tot, Ry per atom: -0.38771
Spin magnetization, μB/f.u.: 0.4
ΔE_f, eV/atom: -0.17